No. 1
Material: MnH3Pd
Method: DFT, PBE
State: optimized geometry

Cell lengths 4.7961, 4.7961, 5.7031 Å; angles 90.00, 90.00, 120.00 degrees
Space group R3m (No. 160, hexagonal axes)
Unique sites:
Mn: 0.0000 0.0000 0.0000 (multiplicity 3)
H: 0.1907 0.3814 0.8898 (multiplicity 9)
Pd: 0.0000 0.0000 0.4961 (multiplicity 3)

---

No. 2
Material: Ac2FeN4
Method: DFT, PBE
State: optimized geometry

**Formation energy from raw total energies**: -0.75 eV/atom

Cell lengths 7.515, 5.680, 10.232 Å; angles 90.00, 90.00, 90.00 degrees
Space group Pnma (No. 62)
Unique sites:
Ac: 0.010 0.250 0.188 (multiplicity 4)
Ac: 0.149 0.750 0.421 (multiplicity 4)
Fe: 0.223 0.750 0.079 (multiplicity 4)
N: 0.006 0.250 0.913 (multiplicity 4)
N: 0.184 0.001 0.647 (multiplicity 8)
N: 0.194 0.250 0.417 (multiplicity 4)

---

No. 3
Material: RbTaSbI2
Method: DFT, PBE
State: optimized geometry

**Formation energy from raw total energies**: -0.16 eV/atom

Cell lengths 5.823, 5.823, 5.391 Å; angles 90.00, 90.00, 90.00 degrees
Space group P4/mmm (No. 123)
Unique sites:
Rb: 0.000 0.000 0.000 (multiplicity 1)
Ta: 0.500 0.500 0.500 (multiplicity 1)
Sb: 0.500 0.500 0.000 (multiplicity 1)
I: 0.000 0.500 0.500 (multiplicity 2)

---

No. 4
Material: Ba2LaTlF8
Method: DFT, PBE
State: optimized geometry

**Formation energy from raw total energies**: -3.62 eV/atom

Cell lengths 6.150, 6.150, 12.505 Å; angles 90.00, 90.00, 90.00 degrees
Space group I-4m2 (No. 119)
Unique sites:
Ba: 0.000 0.000 0.000 (multiplicity 2)
Ba: 0.000 0.500 0.250 (multiplicity 2)
La: 0.000 0.500 0.750 (multiplicity 2)
Tl: 0.000 0.000 0.500 (multiplicity 2)
F: 0.224 0.258 0.862 (multiplicity 16)

---

Number 1: uncorrected energy -4.7338 eV/atom. Number 2: uncorrected energy -7.8880 eV/atom. Number 3: uncorrected energy -4.1654 eV/atom. Number 4: uncorrected energy -5.8007 eV/atom.